First-principles (GGA-PBE) data for a geometry-optimized NdY2Sb structure, as listed in the Alexandria database.

Computed properties:
V (Å³ per cell): 134.9
Symmetry: R-3m, No. 166
Energy above the most stable polymorph in this dataset (meV/atom): 238.0
Energy (hartree per atom): -0.2135

Cell lengths 10.050, 10.050, 10.050 Å; angles 22.90, 22.90, 22.90 degrees
Positions (direct):
Nd (0.000, 0.000, 0.000)
Y (0.233, 0.233, 0.233)
Y (0.767, 0.767, 0.767)
Sb (0.500, 0.500, 0.500)